No. 1
The following is a DFT calculation (PBE-GGA) of a relaxed Be2WBr crystal.

Output
Formation energy from raw total energies = 585 meV per atom
Density of states at the Fermi level = 0.71 states/eV/f.u.
Distance to the lowest polymorph of the same formula = 198 meV/atom

The structure in CIF format:
```
data_Be2WBr
_cell_length_a 3.0051
_cell_length_b 3.0051
_cell_length_c 22.2709
_cell_angle_alpha 90.00
_cell_angle_beta 90.00
_cell_angle_gamma 120.00
_space_group_name_H-M_alt 'R -3 m'
_space_group_IT_number 166
_space_group_name_Hall '-R 3 2"'
loop_
_atom_site_label
_atom_site_fract_x
_atom_site_fract_y
_atom_site_fract_z
Be1 0.0000 0.0000 0.2499
W1 0.0000 0.0000 0.0000
Br1 0.0000 0.0000 0.5000
```


No. 2
The following is a DFT calculation (PBE-GGA) of a relaxed Cu6OF11 crystal.

Output
Formation energy from raw total energies = -1402 meV per atom
Density of states at the Fermi level = 8.73 states/eV/f.u.
Distance to the lowest polymorph of the same formula = 0 meV/atom

The structure in CIF format:
```
data_Cu6OF11
_cell_length_a 4.621
_cell_length_b 4.642
_cell_length_c 9.882
_cell_angle_alpha 83.37
_cell_angle_beta 88.83
_cell_angle_gamma 88.08
_space_group_name_H-M_alt 'P 1'
_space_group_IT_number 1
loop_
_space_group_symop_operation_xyz
'x,y,z'
loop_
_atom_site_label
_atom_site_fract_x
_atom_site_fract_y
_atom_site_fract_z
Cu1 0.000 0.000 0.000
Cu2 0.001 0.009 0.338
Cu3 0.496 0.514 0.513
Cu4 0.500 0.507 0.823
Cu5 0.502 0.501 0.165
Cu6 0.961 0.052 0.671
O1 0.668 0.332 0.668
F1 0.176 0.245 0.522
F2 0.199 0.219 0.853
F3 0.206 0.213 0.184
F4 0.258 0.751 0.684
F5 0.302 0.700 0.005
F6 0.304 0.717 0.353
F7 0.697 0.300 0.322
F8 0.705 0.299 0.987
F9 0.771 0.825 0.820
F10 0.789 0.806 0.488
F11 0.797 0.791 0.151
```


No. 3
The following is a DFT calculation (PBE-GGA) of a relaxed GdZnCd2 crystal.

Output
Uncorrected energy = -4.4932 eV per atom
Density of states at the Fermi level = 2.28 states/eV/f.u.

The structure in CIF format:
```
data_GdZnCd2
_cell_length_a 7.086
_cell_length_b 7.086
_cell_length_c 7.086
_cell_angle_alpha 90.00
_cell_angle_beta 90.00
_cell_angle_gamma 90.00
_space_group_name_H-M_alt 'F m -3 m'
_space_group_IT_number 225
_space_group_name_Hall '-F 4 2 3'
loop_
_atom_site_label
_atom_site_fract_x
_atom_site_fract_y
_atom_site_fract_z
Gd1 0.000 0.000 0.000
Zn1 0.000 0.000 0.500
Cd1 0.250 0.250 0.250
```


No. 4
The following is a DFT calculation (PBE-GGA) of a relaxed ScVP2 crystal.

Output
Density of states at the Fermi level = 1.77 states/eV/f.u.
Distance to the lowest polymorph of the same formula = 80 meV/atom

The structure in CIF format:
```
data_ScVP2
_cell_length_a 3.5407
_cell_length_b 3.5407
_cell_length_c 17.6692
_cell_angle_alpha 90.00
_cell_angle_beta 90.00
_cell_angle_gamma 120.00
_space_group_name_H-M_alt 'R -3 m'
_space_group_IT_number 166
_space_group_name_Hall '-R 3 2"'
loop_
_atom_site_label
_atom_site_fract_x
_atom_site_fract_y
_atom_site_fract_z
Sc1 0.0000 0.0000 0.0000
V1 0.0000 0.0000 0.5000
P1 0.0000 0.0000 0.2421
```


No. 5
The following is a DFT calculation (PBE-GGA) of a relaxed EuHgTe crystal.

Output
Formation energy from raw total energies = -867 meV per atom
Distance to the lowest polymorph of the same formula = 61 meV/atom

The structure in CIF format:
```
data_EuHgTe
_cell_length_a 4.497
_cell_length_b 4.497
_cell_length_c 13.650
_cell_angle_alpha 90.00
_cell_angle_beta 90.00
_cell_angle_gamma 90.00
_space_group_name_H-M_alt 'I 4 m m'
_space_group_IT_number 107
_space_group_name_Hall 'I 4 -2'
loop_
_atom_site_label
_atom_site_fract_x
_atom_site_fract_y
_atom_site_fract_z
Eu1 0.000 0.000 0.000
Hg1 0.000 0.000 0.236
Te1 0.000 0.000 0.472
```


No. 6
The following is a DFT calculation (PBE-GGA) of a relaxed Pr3Al6Ni5 crystal.

Output
Uncorrected energy = -5.1989 eV per atom
Density of states at the Fermi level = 7.58 states/eV/f.u.

The structure in CIF format:
```
data_Pr3Al6Ni5
_cell_length_a 4.092
_cell_length_b 12.351
_cell_length_c 9.982
_cell_angle_alpha 90.00
_cell_angle_beta 90.00
_cell_angle_gamma 90.00
_space_group_name_H-M_alt 'P m m n'
_space_group_IT_number 59
loop_
_space_group_symop_operation_xyz
'x,y,z'
'-x,-y,-z'
'-x+1/2,-y+1/2,z'
'x+1/2,y+1/2,-z'
'x+1/2,-y,-z'
'-x+1/2,y,z'
'-x,y+1/2,-z'
'x,-y+1/2,z'
loop_
_atom_site_label
_atom_site_fract_x
_atom_site_fract_y
_atom_site_fract_z
Pr1 0.250 0.081 0.246
Pr2 0.250 0.750 0.260
Al1 0.250 0.054 0.578
Al2 0.250 0.250 0.478
Al3 0.250 0.250 0.998
Al4 0.250 0.585 0.002
Ni1 0.250 0.083 0.854
Ni2 0.250 0.645 0.534
Ni3 0.250 0.750 0.858
```


No. 7
The following is a DFT calculation (PBE-GGA) of a relaxed ThZnAgSn crystal.

Output
Uncorrected energy = -4.0772 eV per atom
Density of states at the Fermi level = 3.08 states/eV/f.u.

The structure in CIF format:
```
data_ThZnAgSn
_cell_length_a 7.141
_cell_length_b 7.141
_cell_length_c 7.141
_cell_angle_alpha 90.00
_cell_angle_beta 90.00
_cell_angle_gamma 90.00
_space_group_name_H-M_alt 'F -4 3 m'
_space_group_IT_number 216
_space_group_name_Hall 'F -4 2 3'
loop_
_atom_site_label
_atom_site_fract_x
_atom_site_fract_y
_atom_site_fract_z
Th1 0.000 0.000 0.000
Zn1 0.250 0.250 0.750
Ag1 0.250 0.250 0.250
Sn1 0.000 0.000 0.500
```


No. 8
The following is a DFT calculation (PBE-GGA) of a relaxed LiMg4Al crystal.

Output
Density of states at the Fermi level = 1.96 states/eV/f.u.
Distance to the lowest polymorph of the same formula = 0 meV/atom

The structure in CIF format:
```
data_LiMg4Al
_cell_length_a 4.526
_cell_length_b 12.065
_cell_length_c 4.555
_cell_angle_alpha 90.00
_cell_angle_beta 90.00
_cell_angle_gamma 90.00
_space_group_name_H-M_alt 'C m m m'
_space_group_IT_number 65
_space_group_name_Hall '-C 2 2'
loop_
_atom_site_label
_atom_site_fract_x
_atom_site_fract_y
_atom_site_fract_z
Li1 0.000 0.000 0.000
Mg1 0.000 0.157 0.500
Mg2 0.000 0.341 0.000
Al1 0.000 0.500 0.500
```


No. 9
The following is a DFT calculation (PBE-GGA) of a relaxed LaNd6Dy2 crystal.

Output
Density of states at the Fermi level = 14.88 states/eV/f.u.
Distance to the lowest polymorph of the same formula = 36 meV/atom

The structure in CIF format:
```
data_LaNd6Dy2
_cell_length_a 3.6560
_cell_length_b 3.6560
_cell_length_c 27.3331
_cell_angle_alpha 90.00
_cell_angle_beta 90.00
_cell_angle_gamma 120.00
_space_group_name_H-M_alt 'P -6 m 2'
_space_group_IT_number 187
_space_group_name_Hall 'P -6 2'
loop_
_atom_site_label
_atom_site_fract_x
_atom_site_fract_y
_atom_site_fract_z
La1 0.0000 0.0000 0.0000
Nd1 0.0000 0.0000 0.2229
Nd2 0.0000 0.0000 0.4341
Nd3 0.3333 0.6667 0.1134
Dy1 0.3333 0.6667 0.3308
```


No. 10
The following is a DFT calculation (PBE-GGA) of a relaxed TcSF3 crystal.

Output
Formation energy from raw total energies = -717 meV per atom
Density of states at the Fermi level = 4.65 states/eV/f.u.
Distance to the lowest polymorph of the same formula = 757 meV/atom

The structure in CIF format:
```
data_TcSF3
_cell_length_a 4.240
_cell_length_b 4.240
_cell_length_c 4.240
_cell_angle_alpha 90.00
_cell_angle_beta 90.00
_cell_angle_gamma 90.00
_space_group_name_H-M_alt 'P m -3 m'
_space_group_IT_number 221
_space_group_name_Hall '-P 4 2 3'
loop_
_atom_site_label
_atom_site_fract_x
_atom_site_fract_y
_atom_site_fract_z
Tc1 0.000 0.000 0.000
S1 0.500 0.500 0.500
F1 0.000 0.000 0.500
```